A plane-wave DFT calculation with GGA-PBE was carried out for a geometry-optimized PaOsPb structure.

abc: 6.6855 6.6855 6.6855
angles: 90.00 90.00 90.00
Space group F-43m (No. 216)
Unique sites:
Pa  0.0000  0.0000  0.0000
Os  0.2500  0.2500  0.2500
Pb  0.0000  0.0000  0.5000

DFT total energy: -96.79 eV per cell
Size of the total moment: 0.3 μB/f.u.